CeSmPd4 | GGA-PBE | relaxed

a = 10.2288 Å, b = 10.2288 Å, c = 5.8048 Å
α = 90.00°, β = 90.00°, γ = 156.24°
Positions (direct):
Ce: 0.0781 0.9219 0.7500
Ce: 0.9219 0.0781 0.2500
Sm: 0.2236 0.7764 0.2500
Sm: 0.7764 0.2236 0.7500
Pd: 0.0718 0.9282 0.2500
Pd: 0.3544 0.6456 0.5096
Pd: 0.3544 0.6456 0.9904
Pd: 0.5000 0.5000 0.0000
Pd: 0.5000 0.5000 0.5000
Pd: 0.6456 0.3544 0.0096
Pd: 0.6456 0.3544 0.4904
Pd: 0.9282 0.0718 0.7500

Formation energy (eV/atom): -0.794
E above lowest polymorph (meV per atom): 0.0


SrLi2Ac | GGA-PBE | relaxed

a = 11.7127 Å, b = 11.7127 Å, c = 11.7127 Å
α = 19.18°, β = 19.18°, γ = 19.18°
Positions (direct):
Sr: 0.0000 0.0000 0.0000
Li: 0.4179 0.4179 0.4179
Li: 0.5824 0.5824 0.5824
Ac: 0.1667 0.1667 0.1667

Formation energy (eV/atom): 0.181
E above lowest polymorph (meV per atom): 105.3


Sc2TcRh | GGA-PBE | relaxed

a = 2.9281 Å, b = 4.4397 Å, c = 5.3848 Å
α = 90.00°, β = 90.00°, γ = 90.00°
Positions (direct):
Sc: 0.0000 0.0000 0.0000
Sc: 0.5000 0.5000 0.3288
Tc: 0.0000 0.0000 0.5108
Rh: 0.5000 0.5000 0.8165

Formation energy (eV/atom): -0.239


Respective total magnetization values: 1.0, 0.0, 0.0 μB/cell.